LiNbAsO PBE optimized geometry; magnetic moment = 0.00 μB per formula unit; VASP energy = -6.33 eV/atom
1.0
5.172 0.000 0.000
0.000 5.172 0.000
0.000 0.000 4.364
As Li O Nb
2 2 2 2
Direct
0.250 0.250 0.507 As
0.750 0.750 0.493 As
0.250 0.250 0.007 Li
0.750 0.750 0.993 Li
0.750 0.250 0.000 O
0.250 0.750 0.000 O
0.250 0.750 0.500 Nb
0.750 0.250 0.500 Nb